No. 1
Entry from the Alexandria database: an optimized crystal structure of TlAgHgSe2 (PBE-GGA).

a = 16.1327 Å, b = 4.3725 Å, c = 8.5578 Å
α = 90.00°, β = 100.61°, γ = 90.00°
Space group C2/m (No. 12)
Asymmetric unit:
Tl: 0.2355 0.0000 0.2024 [4 per cell]
Ag: 0.1322 0.0000 0.5619 [4 per cell]
Hg: 0.0084 0.5000 0.7646 [4 per cell]
Se: 0.1012 0.0000 0.8526 [4 per cell]
Se: 0.1458 0.5000 0.3917 [4 per cell]

Calculated values
- formation energy from raw total energies (eV per atom) = -0.2135

---

No. 2
Entry from the Alexandria database: an optimized crystal structure of Al2CrTe (PBE-GGA).

a = 3.9421 Å, b = 3.6523 Å, c = 10.4892 Å
α = 90.00°, β = 90.00°, γ = 90.00°
Space group Amm2 (No. 38)
Asymmetric unit:
Al: 0.0000 0.0000 0.0000 [2 per cell]
Al: 0.5000 0.0000 0.4501 [2 per cell]
Cr: 0.5000 0.0000 0.1592 [2 per cell]
Te: 0.0000 0.0000 0.7405 [2 per cell]

Calculated values
- formation energy from raw total energies (eV per atom) = 0.1606

---

No. 3
Entry from the Alexandria database: an optimized crystal structure of PmSm4Tm10 (PBE-GGA).

a = 12.1198 Å, b = 12.1198 Å, c = 7.6553 Å
α = 90.00°, β = 90.00°, γ = 90.00°
Space group I4/m (No. 87)
Asymmetric unit:
Pm: 0.0000 0.0000 0.0000 [2 per cell]
Sm: 0.1008 0.7010 0.5000 [8 per cell]
Tm: 0.0000 0.5000 0.2500 [4 per cell]
Tm: 0.0993 0.2008 0.2502 [16 per cell]

Calculated values
- E_form (eV per atom) = 0.7621

---

No. 4
Entry from the Alexandria database: an optimized crystal structure of CaAc3Si2 (PBE-GGA).

a = 7.3564 Å, b = 15.0620 Å, c = 7.9231 Å
α = 90.00°, β = 90.00°, γ = 90.00°
Space group Ibam (No. 72)
Asymmetric unit:
Ca: 0.0000 0.0000 0.0000 [4 per cell]
Ac: 0.0000 0.2245 0.2500 [8 per cell]
Ac: 0.0000 0.5000 0.2500 [4 per cell]
Si: 0.2071 0.3642 0.0000 [8 per cell]

Calculated values
- formation energy from raw total energies (eV per atom) = -0.2886

---

No. 5
Entry from the Alexandria database: an optimized crystal structure of NiRhSeBr2 (PBE-GGA).

a = 5.1529 Å, b = 5.1529 Å, c = 4.7347 Å
α = 90.00°, β = 90.00°, γ = 90.00°
Space group P4/mmm (No. 123)
Asymmetric unit:
Ni: 0.0000 0.0000 0.0000 [1 per cell]
Rh: 0.5000 0.5000 0.5000 [1 per cell]
Se: 0.5000 0.5000 0.0000 [1 per cell]
Br: 0.0000 0.5000 0.5000 [2 per cell]

Calculated values
- formation energy from raw total energies (eV per atom) = 0.6164

---

No. 6
Entry from the Alexandria database: an optimized crystal structure of AcPuPtAu (PBE-GGA).

a = 7.4385 Å, b = 7.4385 Å, c = 7.4385 Å
α = 90.00°, β = 90.00°, γ = 90.00°
Space group F-43m (No. 216)
Asymmetric unit:
Ac: 0.0000 0.0000 0.0000 [4 per cell]
Pu: 0.0000 0.0000 0.5000 [4 per cell]
Pt: 0.2500 0.2500 0.7500 [4 per cell]
Au: 0.2500 0.2500 0.2500 [4 per cell]

Calculated values
- E_form (eV per atom) = -0.6721